1.
## EuDy2Sb (GGA-PBE)

Data for a relaxed EuDy2Sb crystal.

Unit cell a=4.766 b=4.895 c=4.895 alpha=90.00 beta=90.00 gamma=90.00
Each line ends with the local moment (μB).
Positions (direct):
Dy 0.000 0.000 0.500  0.14
Dy 0.000 0.500 0.000  0.14
Sb 0.500 0.000 0.000  -0.02
Eu 0.500 0.500 0.500  6.91

Properties
The space group is P4/mmm. For the relative energy among the computed polymorphs, the calculation gives 0.00 eV/f.u. The value obtained for the uncorrected formation energy is -0.452 eV/atom.

2.
## Eu3DySb3 (GGA-PBE)

Data for a relaxed Eu3DySb3 crystal.

Unit cell a=8.279 b=8.279 c=8.342 alpha=70.53 beta=70.53 gamma=109.03
Each line ends with the local moment (μB).
Positions (direct):
Sb 0.378 0.759 0.370  0.02
Sb 0.641 0.875 0.748  0.02
Sb 0.759 0.378 0.870  0.02
Sb 0.114 0.232 0.132  0.02
Sb 0.875 0.641 0.248  0.02
Sb 0.232 0.114 0.632  0.02
Eu 0.362 0.002 0.994  6.82
Eu 0.642 0.146 0.360  -6.85
Eu 0.496 0.494 0.147  -6.85
Eu 0.494 0.496 0.647  -6.85
Eu 0.002 0.362 0.494  6.82
Eu 0.146 0.642 0.860  -6.85
Dy 0.857 0.001 0.999  -0.01
Dy 0.001 0.857 0.499  -0.01

Properties
The space group is Cc. The value obtained for the uncorrected formation energy is -1.076 eV/atom.

3.
## EuDySb (GGA-PBE)

Data for a relaxed EuDySb crystal.

Unit cell a=4.354 b=5.118 c=5.118 alpha=120.00 beta=90.00 gamma=90.00
Each line ends with the local moment (μB).
Positions (direct):
Sb 0.231 0.333 0.667  -0.04
Dy 0.125 0.000 0.000  0.12
Eu 0.644 0.667 0.333  6.87

Properties
The space group is P3m1. For the relative energy among the computed polymorphs, the calculation gives 0.35 eV/f.u. The value obtained for the uncorrected formation energy is -0.515 eV/atom.

4.
## EuDy2Sb (GGA-PBE)

Data for a relaxed EuDy2Sb crystal.

Unit cell a=4.059 b=4.059 c=10.272 alpha=78.61 beta=78.61 gamma=60.00
Each line ends with the local moment (μB).
Positions (direct):
Eu 0.500 0.500 0.500  7.02
Dy 0.270 0.270 0.190  0.15
Dy 0.730 0.730 0.810  0.15
Sb 0.000 0.000 0.000  0.01

Properties
The space group is R-3m. For the relative energy among the computed polymorphs, the calculation gives 0.44 eV/f.u. The value obtained for the uncorrected formation energy is -0.342 eV/atom.

5.
## EuDySb2 (GGA-PBE)

Data for a relaxed EuDySb2 crystal.

Unit cell a=4.455 b=4.455 c=7.860 alpha=73.54 beta=73.54 gamma=60.00
Each line ends with the local moment (μB).
Positions (direct):
Dy 0.000 0.000 0.000  -0.06
Sb 0.254 0.254 0.237  -0.05
Sb 0.746 0.746 0.763  -0.05
Eu 0.500 0.500 0.500  6.70

Properties
The space group is R-3m. For the relative energy among the computed polymorphs, the calculation gives 0.00 eV/f.u. The value obtained for the uncorrected formation energy is -1.005 eV/atom.

6.
## EuDySb (GGA-PBE)

Data for a relaxed EuDySb crystal.

Unit cell a=4.085 b=4.085 c=6.157 alpha=109.37 beta=109.37 gamma=90.00
Each line ends with the local moment (μB).
Positions (direct):
Eu 0.010 0.010 0.019  7.12
Dy 0.309 0.309 0.618  0.71
Sb 0.681 0.681 0.363  -0.03

Properties
The space group is I4mm. For the relative energy among the computed polymorphs, the calculation gives 0.00 eV/f.u. The value obtained for the uncorrected formation energy is -0.632 eV/atom.

7.
## EuDy2Sc (GGA-PBE)

Data for a relaxed EuDy2Sc crystal.

Unit cell a=3.468 b=3.468 c=12.357 alpha=81.93 beta=81.93 gamma=60.00
Each line ends with the local moment (μB).
Positions (direct):
Sc 0.500 0.500 0.500  0.03
Dy 0.906 0.906 0.281  0.07
Dy 0.094 0.094 0.719  0.07
Eu 0.000 0.000 0.000  7.14

Properties
The space group is R-3m. For the relative energy among the computed polymorphs, the calculation gives 0.40 eV/f.u. The value obtained for the calculated formation energy is 0.176 eV/atom.

8.
## EuDy2Sc (GGA-PBE)

Data for a relaxed EuDy2Sc crystal.

Unit cell a=3.579 b=3.579 c=9.835 alpha=90.00 beta=90.00 gamma=90.00
Each line ends with the local moment (μB).
Positions (direct):
Eu 0.500 0.500 0.500  6.93
Dy 0.000 0.000 0.779  0.06
Dy 0.000 0.000 0.221  0.06
Sc 0.500 0.500 0.000  -0.06

Properties
The space group is P4/mmm. For the relative energy among the computed polymorphs, the calculation gives 0.00 eV/f.u. The value obtained for the calculated formation energy is 0.077 eV/atom.

9.
## EuDy2Sc (GGA-PBE)

Data for a relaxed EuDy2Sc crystal.

Unit cell a=5.607 b=5.607 c=5.607 alpha=60.00 beta=60.00 gamma=60.00
Each line ends with the local moment (μB).
Positions (direct):
Eu 0.000 0.000 0.000  6.85
Dy 0.250 0.250 0.250  0.19
Dy 0.750 0.750 0.750  0.19
Sc 0.500 0.500 0.500  0.17

Properties
The space group is Fm-3m. For the relative energy among the computed polymorphs, the calculation gives 0.40 eV/f.u. The value obtained for the calculated formation energy is 0.178 eV/atom.

10.
## EuDy2Sc (GGA-PBE)

Data for a relaxed EuDy2Sc crystal.

Unit cell a=5.011 b=4.967 c=4.967 alpha=90.00 beta=90.00 gamma=90.00
Each line ends with the local moment (μB).
Positions (direct):
Sc 0.500 0.000 0.000  0.01
Dy 0.000 0.500 0.000  0.02
Dy 0.000 0.000 0.500  0.02
Eu 0.500 0.500 0.500  6.81

Properties
The space group is P4/mmm. For the relative energy among the computed polymorphs, the calculation gives 0.21 eV/f.u. The value obtained for the calculated formation energy is 0.130 eV/atom.

11.
## SmEuDySc (GGA-PBE)

Data for a relaxed SmEuDySc crystal.

Unit cell a=5.643 b=5.643 c=5.643 alpha=60.00 beta=60.00 gamma=60.00
Each line ends with the local moment (μB).
Positions (direct):
Eu 0.000 0.000 0.000  6.84
Sm 0.250 0.250 0.250  0.10
Dy 0.750 0.750 0.750  0.12
Sc 0.500 0.500 0.500  0.10

Properties
The space group is F-43m. The value obtained for the calculated formation energy is 0.167 eV/atom.

12.
## TbEuDySc (GGA-PBE)

Data for a relaxed TbEuDySc crystal.

Unit cell a=5.614 b=5.614 c=5.614 alpha=60.00 beta=60.00 gamma=60.00
Each line ends with the local moment (μB).
Positions (direct):
Sc 0.000 0.000 0.000  0.16
Tb 0.750 0.750 0.750  0.17
Dy 0.250 0.250 0.250  0.17
Eu 0.500 0.500 0.500  6.85

Properties
The space group is F-43m. The value obtained for the calculated formation energy is 0.176 eV/atom.

13.
## EuDyThSc (GGA-PBE)

Data for a relaxed EuDyThSc crystal.

Unit cell a=5.623 b=5.623 c=5.623 alpha=60.00 beta=60.00 gamma=60.00
Each line ends with the local moment (μB).
Positions (direct):
Eu 0.250 0.250 0.250  -6.84
Dy 0.500 0.500 0.500  -0.04
Th 0.750 0.750 0.750  0.03
Sc 0.000 0.000 0.000  0.01

Properties
The space group is F-43m. The value obtained for the calculated formation energy is 0.196 eV/atom.

14.
## EuDyScTl (GGA-PBE)

Data for a relaxed EuDyScTl crystal.

Unit cell a=5.383 b=5.383 c=5.383 alpha=60.00 beta=60.00 gamma=60.00
Each line ends with the local moment (μB).
Positions (direct):
Sc 0.750 0.750 0.750  0.51
Tl 0.000 0.000 0.000  -0.02
Eu 0.500 0.500 0.500  7.07
Dy 0.250 0.250 0.250  0.40

Properties
The space group is F-43m. The value obtained for the calculated formation energy is 0.002 eV/atom.

15.
## EuDyTmSc (GGA-PBE)

Data for a relaxed EuDyTmSc crystal.

Unit cell a=5.585 b=5.585 c=5.585 alpha=60.00 beta=60.00 gamma=60.00
Each line ends with the local moment (μB).
Positions (direct):
Sc 0.000 0.000 0.000  0.21
Tm 0.750 0.750 0.750  0.21
Eu 0.500 0.500 0.500  6.86
Dy 0.250 0.250 0.250  0.22

Properties
The space group is F-43m. The value obtained for the calculated formation energy is 0.182 eV/atom.

16.
## EuDy2Se4 (GGA-PBE)

Data for a relaxed EuDy2Se4 crystal.

Unit cell a=4.131 b=12.526 c=14.928 alpha=90.00 beta=90.00 gamma=90.00
Each line ends with the local moment (μB).
Positions (direct):
Se 0.750 0.591 0.421  -0.01
Se 0.750 0.794 0.177  -0.02
Se 0.750 0.368 0.032  -0.01
Se 0.750 0.868 0.468  -0.01
Se 0.750 0.973 0.715  -0.01
Se 0.250 0.706 0.677  -0.02
Se 0.750 0.294 0.323  -0.02
Se 0.750 0.091 0.079  -0.01
Se 0.250 0.206 0.823  -0.02
Se 0.750 0.473 0.785  -0.01
Se 0.250 0.632 0.968  -0.01
Se 0.250 0.909 0.921  -0.01
Se 0.250 0.132 0.532  -0.01
Se 0.250 0.027 0.285  -0.01
Se 0.250 0.409 0.579  -0.01
Se 0.250 0.527 0.215  -0.01
Eu 0.250 0.258 0.165  6.84
Eu 0.750 0.242 0.665  6.84
Eu 0.750 0.742 0.835  6.84
Eu 0.250 0.758 0.335  6.84
Dy 0.750 0.084 0.402  0.01
Dy 0.750 0.584 0.098  0.01
Dy 0.750 0.564 0.611  0.02
Dy 0.250 0.416 0.902  0.01
Dy 0.750 0.064 0.889  0.02
Dy 0.250 0.916 0.598  0.01
Dy 0.250 0.436 0.389  0.02
Dy 0.250 0.936 0.111  0.02

Properties
The space group is Pnma. The value obtained for the uncorrected formation energy is -1.934 eV/atom.

17.
## EuDy2Si (GGA-PBE)

Data for a relaxed EuDy2Si crystal.

Unit cell a=3.943 b=3.943 c=10.753 alpha=79.44 beta=79.44 gamma=60.00
Each line ends with the local moment (μB).
Positions (direct):
Eu 0.000 0.000 0.000  -6.97
Si 0.500 0.500 0.500  -0.01
Dy 0.885 0.885 0.346  0.03
Dy 0.115 0.115 0.654  0.03

Properties
The space group is R-3m. The value obtained for the uncorrected formation energy is -0.067 eV/atom.

18.
## EuDyZnSi (GGA-PBE)

Data for a relaxed EuDyZnSi crystal.

Unit cell a=5.083 b=5.083 c=5.083 alpha=60.00 beta=60.00 gamma=60.00
Each line ends with the local moment (μB).
Positions (direct):
Eu 0.000 0.000 0.000  6.80
Dy 0.500 0.500 0.500  0.16
Si 0.750 0.750 0.750  -0.03
Zn 0.250 0.250 0.250  0.03

Properties
The space group is F-43m. The value obtained for the uncorrected formation energy is -0.387 eV/atom.

19.
## SmEuDy (GGA-PBE)

Data for a relaxed SmEuDy crystal.

Unit cell a=3.674 b=3.674 c=8.204 alpha=102.94 beta=102.94 gamma=90.00
Each line ends with the local moment (μB).
Positions (direct):
Dy 0.326 0.326 0.652  0.07
Sm 0.675 0.675 0.350  0.06
Eu 0.999 0.999 0.998  -6.96

Properties
The space group is I4mm. The value obtained for the calculated formation energy is 0.048 eV/atom.

20.
## Sm4EuDy (GGA-PBE)

Data for a relaxed Sm4EuDy crystal.

Unit cell a=6.755 b=6.755 c=6.755 alpha=60.00 beta=60.00 gamma=60.00
Each line ends with the local moment (μB).
Positions (direct):
Sm 0.119 0.627 0.627  0.01
Sm 0.627 0.627 0.119  0.01
Sm 0.627 0.119 0.627  0.01
Sm 0.627 0.627 0.627  0.01
Dy 0.000 0.000 0.000  -0.10
Eu 0.250 0.250 0.250  6.88

Properties
The space group is F-43m. The value obtained for the calculated formation energy is 0.238 eV/atom.

Number 1: size of the total moment 1.877 μB/atom, density 8.71 g/cm³. Number 2: size of the total moment 1.006 μB/atom, density 7.38 g/cm³. Number 3: size of the total moment 2.427 μB/atom, density 7.34 g/cm³. Number 4: size of the total moment 2.043 μB/atom, density 6.97 g/cm³. Number 5: size of the total moment 1.651 μB/atom, density 7.26 g/cm³. Number 6: size of the total moment 2.949 μB/atom, density 7.98 g/cm³. Number 7: size of the total moment 1.987 μB/atom, density 6.82 g/cm³. Number 8: size of the total moment 1.845 μB/atom, density 6.88 g/cm³. Number 9: size of the total moment 1.998 μB/atom, density 6.95 g/cm³. Number 10: size of the total moment 1.783 μB/atom, density 7.01 g/cm³. Number 11: size of the total moment 1.927 μB/atom, density 6.66 g/cm³. Number 12: size of the total moment 1.981 μB/atom, density 6.88 g/cm³. Number 13: size of the total moment 1.782 μB/atom, density 7.81 g/cm³. Number 14: size of the total moment 2.195 μB/atom, density 8.49 g/cm³. Number 15: size of the total moment 2.033 μB/atom, density 7.12 g/cm³. Number 16: size of the total moment 1.000 μB/atom, density 6.82 g/cm³. Number 17: size of the total moment 1.811 μB/atom, density 5.93 g/cm³. Number 18: size of the total moment 1.819 μB/atom, density 7.29 g/cm³. Number 19: size of the total moment 2.402 μB/atom, density 7.35 g/cm³. Number 20: size of the total moment 1.205 μB/atom, density 6.98 g/cm³.